First-principles (GGA-PBE) data for a geometry-optimized CoCu2B structure, as listed in OQMD via LeMat-Bulk.

Cell: 5.4161 5.4161 5.4161 Å, 90.00 90.00 90.00°
Closest atoms and distances in Å follow each position.
Fractional coordinates of all 16 atoms:
Co  0.0000  0.0000  0.0000  4 B 2.35, 4 Cu 2.35
Co  0.0000  0.5000  0.5000  4 Cu 2.35, 4 B 2.35
Co  0.5000  0.0000  0.5000  4 Cu 2.35, 4 B 2.35
Co  0.5000  0.5000  0.0000  4 Cu 2.35, 4 B 2.35
Cu  0.0000  0.0000  0.5000  4 Cu 2.35, 4 B 2.35
Cu  0.0000  0.5000  0.0000  4 Cu 2.35, 4 B 2.35
Cu  0.2500  0.2500  0.2500  4 Co 2.35, 4 Cu 2.35
Cu  0.2500  0.7500  0.7500  4 Co 2.35, 4 Cu 2.35
Cu  0.5000  0.0000  0.0000  4 Cu 2.35, 4 B 2.35
Cu  0.5000  0.5000  0.5000  4 Cu 2.35, 4 B 2.35
Cu  0.7500  0.2500  0.7500  4 Co 2.35, 4 Cu 2.35
Cu  0.7500  0.7500  0.2500  4 Co 2.35, 4 Cu 2.35
B  0.2500  0.2500  0.7500  4 Co 2.35, 4 Cu 2.35
B  0.2500  0.7500  0.2500  4 Co 2.35, 4 Cu 2.35
B  0.7500  0.2500  0.2500  4 Co 2.35, 4 Cu 2.35
B  0.7500  0.7500  0.7500  4 Co 2.35, 4 Cu 2.35

- uncorrected energy (eV/f.u.) = -19.73
- ρ (g/cm³) = 8.23


First-principles (GGA-PBE) data for a geometry-optimized CoCuB structure, as listed in OQMD via LeMat-Bulk.

Cell: 5.0769 5.0769 5.0769 Å, 90.00 90.00 90.00°
Closest atoms and distances in Å follow each position.
Fractional coordinates of all 12 atoms:
Co  0.0000  0.0000  0.0000  4 Cu 2.20, 4 B 2.20
Co  0.0000  0.5000  0.5000  4 Cu 2.20, 4 B 2.20
Co  0.5000  0.0000  0.5000  4 Cu 2.20, 4 B 2.20
Co  0.5000  0.5000  0.0000  4 Cu 2.20, 4 B 2.20
Cu  0.2500  0.2500  0.2500  4 Co 2.20
Cu  0.2500  0.7500  0.7500  4 Co 2.20
Cu  0.7500  0.2500  0.7500  4 Co 2.20
Cu  0.7500  0.7500  0.2500  4 Co 2.20
B  0.2500  0.2500  0.7500  4 Co 2.20
B  0.2500  0.7500  0.2500  4 Co 2.20
B  0.7500  0.2500  0.2500  4 Co 2.20
B  0.7500  0.7500  0.7500  4 Co 2.20

- uncorrected energy (eV/f.u.) = -15.38
- ρ (g/cm³) = 6.77


First-principles (GGA-PBE) data for a geometry-optimized FeCoCu4B2 structure, as listed in OQMD via LeMat-Bulk.

Cell: 3.8804 3.8804 5.4812 Å, 90.00 90.00 90.00°
Closest atoms and distances in Å follow each position.
Fractional coordinates of all 8 atoms:
Fe  0.0000  0.0000  0.0000  8 Cu 2.38
Co  0.5000  0.5000  0.5000  8 Cu 2.37
Cu  0.0000  0.5000  0.2505  2 Co 2.37, 4 B 2.37-2.38, 2 Fe 2.38
Cu  0.0000  0.5000  0.7495  2 Co 2.37, 4 B 2.37-2.38, 2 Fe 2.38
Cu  0.5000  0.0000  0.2505  2 Co 2.37, 4 B 2.37-2.38, 2 Fe 2.38
Cu  0.5000  0.0000  0.7495  2 Co 2.37, 4 B 2.37-2.38, 2 Fe 2.38
B  0.0000  0.0000  0.5000  8 Cu 2.37
B  0.5000  0.5000  0.0000  8 Cu 2.38

- uncorrected energy (eV/f.u.) = -39.11
- ρ (g/cm³) = 7.86


First-principles (GGA-PBE) data for a geometry-optimized CoCuHgB structure, as listed in OQMD via LeMat-Bulk.

Cell: 5.8434 5.8434 5.8434 Å, 90.00 90.00 90.00°
Closest atoms and distances in Å follow each position.
Fractional coordinates of all 16 atoms:
Co  0.0000  0.0000  0.0000  4 Cu 2.53, 4 B 2.53
Co  0.0000  0.5000  0.5000  4 Cu 2.53, 4 B 2.53
Co  0.5000  0.0000  0.5000  4 Cu 2.53, 4 B 2.53
Co  0.5000  0.5000  0.0000  4 Cu 2.53, 4 B 2.53
Cu  0.2500  0.2500  0.2500  4 Hg 2.53, 4 Co 2.53
Cu  0.2500  0.7500  0.7500  4 Hg 2.53, 4 Co 2.53
Cu  0.7500  0.2500  0.7500  4 Hg 2.53, 4 Co 2.53
Cu  0.7500  0.7500  0.2500  4 Hg 2.53, 4 Co 2.53
Hg  0.0000  0.0000  0.5000  4 Cu 2.53, 4 B 2.53
Hg  0.0000  0.5000  0.0000  4 Cu 2.53, 4 B 2.53
Hg  0.5000  0.0000  0.0000  4 Cu 2.53, 4 B 2.53
Hg  0.5000  0.5000  0.5000  4 Cu 2.53, 4 B 2.53
B  0.2500  0.2500  0.7500  4 Hg 2.53, 4 Co 2.53
B  0.2500  0.7500  0.2500  4 Hg 2.53, 4 Co 2.53
B  0.7500  0.2500  0.2500  4 Hg 2.53, 4 Co 2.53
B  0.7500  0.7500  0.7500  4 Hg 2.53, 4 Co 2.53

- offset from the most stable computed form (meV/atom) = 0
- ρ (g/cm³) = 11.12


First-principles (GGA-PBE) data for a geometry-optimized CoCuBIr structure, as listed in OQMD via LeMat-Bulk.

Cell: 5.5700 5.5700 5.5700 Å, 90.00 90.00 90.00°
Closest atoms and distances in Å follow each position.
Fractional coordinates of all 16 atoms:
Co  0.0000  0.0000  0.0000  4 Cu 2.41, 4 B 2.41
Co  0.0000  0.5000  0.5000  4 Cu 2.41, 4 B 2.41
Co  0.5000  0.0000  0.5000  4 Cu 2.41, 4 B 2.41
Co  0.5000  0.5000  0.0000  4 Cu 2.41, 4 B 2.41
Cu  0.2500  0.2500  0.2500  4 Co 2.41, 4 Ir 2.41
Cu  0.2500  0.7500  0.7500  4 Co 2.41, 4 Ir 2.41
Cu  0.7500  0.2500  0.7500  4 Co 2.41, 4 Ir 2.41
Cu  0.7500  0.7500  0.2500  4 Co 2.41, 4 Ir 2.41
B  0.2500  0.2500  0.7500  4 Co 2.41, 4 Ir 2.41
B  0.2500  0.7500  0.2500  4 Co 2.41, 4 Ir 2.41
B  0.7500  0.2500  0.2500  4 Co 2.41, 4 Ir 2.41
B  0.7500  0.7500  0.7500  4 Ir 2.41, 4 Co 2.41
Ir  0.0000  0.0000  0.5000  4 Cu 2.41, 4 B 2.41
Ir  0.0000  0.5000  0.0000  4 Cu 2.41, 4 B 2.41
Ir  0.5000  0.0000  0.0000  4 Cu 2.41, 4 B 2.41
Ir  0.5000  0.5000  0.5000  4 Cu 2.41, 4 B 2.41

- offset from the most stable computed form (meV/atom) = 0
- ρ (g/cm³) = 12.51


First-principles (GGA-PBE) data for a geometry-optimized LiCoCu4B2 structure, as listed in OQMD via LeMat-Bulk.

Cell: 3.6195 3.6195 5.9235 Å, 90.00 90.00 90.00°
Closest atoms and distances in Å follow each position.
Fractional coordinates of all 8 atoms:
Li  0.0000  0.0000  0.0000  8 Cu 2.29, 4 B 2.56
Co  0.5000  0.5000  0.5000  8 Cu 2.39, 4 B 2.56
Cu  0.0000  0.5000  0.2360  2 Li 2.29, 4 B 2.29-2.39, 2 Co 2.39, 4 Cu 2.56
Cu  0.0000  0.5000  0.7640  4 B 2.29-2.39, 2 Li 2.29, 2 Co 2.39, 4 Cu 2.56
Cu  0.5000  0.0000  0.2360  2 Li 2.29, 4 B 2.29-2.39, 2 Co 2.39, 4 Cu 2.56
Cu  0.5000  0.0000  0.7640  4 B 2.29-2.39, 2 Li 2.29, 2 Co 2.39, 4 Cu 2.56
B  0.0000  0.0000  0.5000  8 Cu 2.39, 4 Co 2.56
B  0.5000  0.5000  0.0000  8 Cu 2.29, 4 Li 2.56

- uncorrected energy (eV/f.u.) = -34.56
- ρ (g/cm³) = 7.31